## MoPbAu2 (meta-GGA SCAN)

Data for a PBEsol-optimized structure of MoPbAu2.

As for the magnetization: 0.00 μB/cell. The energy of formation is 0.2641 eV/atom.

The space group is P2/m (No. 10) and the conventional cell measures 2.941, 2.941 and 8.843 Å, with angles of 90.00, 90.18 and 90.00 degrees. The inequivalent atoms are Mo at (0.000, 0.000, 0.000), Pb at (0.000, 0.000, 0.500) and Au at (0.498, 0.500, 0.789).

## KBaW2 (meta-GGA SCAN)

Data for a PBEsol-optimized structure of KBaW2.

As for the magnetization: 0.00 μB/cell. The energy of formation is 1.7770 eV/atom.

The space group is Immm (No. 71) and the conventional cell measures 3.511, 4.316 and 11.775 Å, with angles of 90.00, 90.00 and 90.00 degrees. The inequivalent atoms are K at (0.000, 0.000, 0.000), Ba at (0.000, 0.000, 0.500) and W at (0.000, 0.500, 0.251).

## MgAlPb2 (meta-GGA SCAN)

Data for a PBEsol-optimized structure of MgAlPb2.

As for the magnetization: 0.00 μB/cell. Its energy above the lowest structure with this stoichiometry is 2.0 meV/atom. The energy of formation is 0.0839 eV/atom.

The space group is I-4m2 (No. 119) and the conventional cell measures 4.511, 4.511 and 9.779 Å, with angles of 90.00, 90.00 and 90.00 degrees. The inequivalent atoms are Mg at (0.000, 0.000, 0.000), Al at (0.000, 0.500, 0.750), Pb at (0.000, 0.000, 0.500) and Pb at (0.000, 0.500, 0.250).

## ScPtW2 (meta-GGA SCAN)

Data for a PBEsol-optimized structure of ScPtW2.

As for the magnetization: 0.00 μB/cell. The energy of formation is 0.1445 eV/atom.

The space group is R3m (No. 160, hexagonal axes) and the conventional cell measures 2.8425, 2.8425 and 28.0770 Å, with angles of 90.00, 90.00 and 120.00 degrees. The inequivalent atoms are Sc at (0.0000, 0.0000, 0.0000), Pt at (0.0000, 0.0000, 0.7491), W at (0.0000, 0.0000, 0.2465) and W at (0.0000, 0.0000, 0.4953).

One value per record, in order, for V: 19.13, 22.30, 24.88, 16.37 Å³/atom.